No. 1
Sr2AlF: relaxed, PBE-GGA.

Cell: 3.8527 3.8527 29.4016 Å, 90.00 90.00 120.00°
Space group R-3m (No. 166, hexagonal axes)
Unique sites:
Sr 0.0000 0.0000 0.1099 x6
Al 0.0000 0.0000 0.0000 x3
F 0.0000 0.0000 0.5000 x3

- Formation energy without anion corrections: -320 kJ/mol of formula units
- Fermi-level density of states: 0.901 states/eV per atom



No. 2
SrAlF5: relaxed, PBE-GGA.

Cell: 8.921 7.546 12.822 Å, 90.00 102.56 90.00°
Space group P2_1/c (No. 14)
Unique sites:
Sr 0.208 0.224 0.399 x4
Sr 0.283 0.732 0.637 x4
Al 0.044 0.742 0.369 x4
Al 0.373 0.234 0.180 x4
F 0.015 0.734 0.005 x4
F 0.064 0.728 0.230 x4
F 0.095 0.524 0.389 x4
F 0.149 0.193 0.683 x4
F 0.189 0.602 0.904 x4
F 0.311 0.042 0.246 x4
F 0.312 0.105 0.059 x4
F 0.357 0.063 0.604 x4
F 0.423 0.173 0.816 x4
F 0.431 0.691 0.312 x4

- Formation energy without anion corrections: -2481 kJ/mol of formula units
- Fermi-level density of states: 0.000 states/eV per atom



No. 3
SrAlF5: relaxed, PBE-GGA.

Cell: 9.114 6.657 7.642 Å, 90.00 114.37 90.00°
Space group C2/c (No. 15)
Unique sites:
Sr 0.000 0.044 0.250 x4
Al 0.000 0.500 0.000 x4
F 0.000 0.447 0.250 x4
F 0.010 0.228 0.973 x8
F 0.213 0.485 0.607 x8

- Formation energy without anion corrections: -2519 kJ/mol of formula units
- Fermi-level density of states: 0.000 states/eV per atom



No. 4
SrAlF: relaxed, PBE-GGA.

Cell: 3.910 3.998 8.704 Å, 90.00 92.10 90.00°
Space group P2_1/m (No. 11)
Unique sites:
Sr 0.235 0.250 0.330 x2
Al 0.262 0.250 0.946 x2
F 0.251 0.750 0.497 x2

- Formation energy without anion corrections: -550 kJ/mol of formula units
- Fermi-level density of states: 0.286 states/eV per atom



No. 5
SrAlF6: relaxed, PBE-GGA.

Cell: 7.0589 7.0589 7.0374 Å, 90.00 90.00 120.00°
Space group R-3m (No. 166, hexagonal axes)
Unique sites:
Sr 0.0000 0.0000 0.0000 x3
Al 0.0000 0.0000 0.5000 x3
F 0.0971 0.5485 0.3234 x18

- Formation energy without anion corrections: -2475 kJ/mol of formula units
- Fermi-level density of states: 0.713 states/eV per atom



No. 6
SrAl2F8: relaxed, PBE-GGA.

Cell: 10.076 5.774 5.379 Å, 90.00 97.08 90.00°
Space group C2/m (No. 12)
Unique sites:
Sr 0.000 0.000 0.000 x2
Al 0.228 0.500 0.491 x4
F 0.125 0.500 0.723 x4
F 0.150 0.225 0.345 x8
F 0.177 0.000 0.761 x4

- Formation energy without anion corrections: -3752 kJ/mol of formula units
- Fermi-level density of states: 0.000 states/eV per atom



No. 7
SrAlF: relaxed, PBE-GGA.

Cell: 4.065 4.065 16.955 Å, 90.00 90.00 90.00°
Space group I4/mmm (No. 139)
Unique sites:
Sr 0.000 0.000 0.165 x4
Al 0.000 0.500 0.000 x4
F 0.000 0.500 0.250 x4

- Formation energy without anion corrections: -551 kJ/mol of formula units
- Fermi-level density of states: 0.412 states/eV per atom



No. 8
Sr2AlF: relaxed, PBE-GGA.

Cell: 7.777 7.777 7.777 Å, 90.00 90.00 90.00°
Space group Fm-3m (No. 225)
Unique sites:
Sr 0.250 0.250 0.250 x8
Al 0.000 0.000 0.000 x4
F 0.000 0.000 0.500 x4

- Formation energy without anion corrections: -343 kJ/mol of formula units
- Fermi-level density of states: 0.382 states/eV per atom



No. 9
Sr4Al2F: relaxed, PBE-GGA.

Cell: 5.175 5.175 17.213 Å, 90.00 90.00 90.00°
Space group I4/mmm (No. 139)
Unique sites:
Sr 0.000 0.000 0.184 x4
Sr 0.000 0.500 0.000 x4
Al 0.000 0.000 0.376 x4
F 0.000 0.000 0.000 x2

- Formation energy without anion corrections: -544 kJ/mol of formula units
- Fermi-level density of states: 1.026 states/eV per atom



No. 10
SrAlF5: relaxed, PBE-GGA.

Cell: 14.387 14.387 7.229 Å, 90.00 90.00 90.00°
Space group I4 (No. 79)
Unique sites:
Sr 0.052 0.225 0.000 x8
Sr 0.069 0.753 0.500 x8
Al 0.000 0.000 0.251 x2
Al 0.000 0.000 0.746 x2
Al 0.000 0.500 0.000 x4
Al 0.166 0.318 0.500 x8
F 0.000 0.000 0.499 x2
F 0.000 0.000 0.999 x2
F 0.000 0.500 0.250 x4
F 0.036 0.879 0.754 x8
F 0.037 0.880 0.243 x8
F 0.055 0.386 0.500 x8
F 0.066 0.392 0.000 x8
F 0.101 0.711 0.173 x8
F 0.102 0.711 0.827 x8
F 0.106 0.246 0.328 x8
F 0.107 0.247 0.673 x8
F 0.231 0.255 0.000 x8

- Formation energy without anion corrections: -2523 kJ/mol of formula units
- Fermi-level density of states: 0.000 states/eV per atom



No. 11
SrAlF5: relaxed, PBE-GGA.

Cell: 9.069 7.540 13.622 Å, 90.00 127.29 90.00°
Space group P2_1/c (No. 14)
Unique sites:
Sr 0.180 0.221 0.361 x4
Sr 0.258 0.723 0.538 x4
Al 0.297 0.207 0.665 x4
Al 0.304 0.699 0.313 x4
F 0.077 0.219 0.638 x4
F 0.116 0.739 0.152 x4
F 0.151 0.565 0.331 x4
F 0.228 0.054 0.542 x4
F 0.228 0.607 0.853 x4
F 0.244 0.109 0.063 x4
F 0.363 0.007 0.771 x4
F 0.402 0.169 0.305 x4
F 0.457 0.688 0.786 x4
F 0.488 0.680 0.475 x4

- Formation energy without anion corrections: -2528 kJ/mol of formula units
- Fermi-level density of states: 0.000 states/eV per atom



No. 12
SrAlF2: relaxed, PBE-GGA.

Cell: 4.4310 4.4310 12.8888 Å, 90.00 90.00 120.00°
Space group R-3m (No. 166, hexagonal axes)
Unique sites:
Sr 0.0000 0.0000 0.0000 x3
Al 0.0000 0.0000 0.5000 x3
F 0.0000 0.0000 0.1994 x6

- Formation energy without anion corrections: -748 kJ/mol of formula units
- Fermi-level density of states: 0.117 states/eV per atom